Record 1
La3Pt (meta-GGA SCAN, PBEsol geometry); calculated volume = 32.20 A^3/atom; D(E_F) = 4.54 states/eV/f.u.; formation enthalpy at 0 K = -0.583 eV per atom
1.0
-1.816 -0.500 3.457
-1.193 -2.022 -3.161
6.126 -7.052 2.199
La Pt
3 1
Direct
0.333 0.667 0.309
0.333 0.667 0.691
0.000 0.000 0.000
0.000 0.000 0.500

***

Record 2
LaPt2 (meta-GGA SCAN, PBEsol geometry); calculated volume = 19.32 A^3/atom; D(E_F) = 1.15 states/eV/f.u.; formation enthalpy at 0 K = -1.259 eV per atom
1.0
-4.629 2.880 -0.477
-4.842 -2.534 0.298
-3.217 0.750 4.363
Pt La
4 2
Direct
0.625 0.625 0.125
0.625 0.125 0.625
0.625 0.625 0.625
0.125 0.625 0.625
0.250 0.250 0.250
0.000 0.000 0.000

***

Record 3
La2Pt3 (meta-GGA SCAN, PBEsol geometry); calculated volume = 21.58 A^3/atom; D(E_F) = 2.26 states/eV/f.u.; formation enthalpy at 0 K = -1.255 eV per atom
1.0
5.559 -0.073 0.000
-2.628 4.899 0.000
-1.466 -2.413 7.981
La Pt
4 6
Direct
0.834 0.489 0.096
0.392 0.738 0.904
0.988 0.142 0.404
0.739 0.584 0.596
0.423 0.560 0.245
0.315 0.178 0.755
0.428 0.065 0.255
0.810 0.173 0.745
0.037 0.037 0.000
0.287 0.787 0.500

***

Record 4
La2Pt (meta-GGA SCAN, PBEsol geometry); calculated volume = 30.71 A^3/atom; D(E_F) = 2.27 states/eV/f.u.; formation enthalpy at 0 K = -0.975 eV per atom
1.0
-1.982 -5.460 4.203
5.841 -3.651 -1.988
3.655 2.875 5.458
La Pt
8 4
Direct
0.168 0.668 0.832
0.168 0.832 0.332
0.332 0.168 0.832
0.332 0.332 0.332
0.668 0.668 0.668
0.668 0.832 0.168
0.832 0.168 0.668
0.832 0.332 0.168
0.000 0.000 0.000
0.000 0.500 0.500
0.500 0.000 0.500
0.500 0.500 0.000

***

Record 5
LaPt5 (meta-GGA SCAN, PBEsol geometry); calculated volume = 18.21 A^3/atom; D(E_F) = 3.49 states/eV/f.u.; formation enthalpy at 0 K = -0.868 eV per atom
1.0
-2.242 -0.219 -3.734
4.447 -1.586 -2.577
-3.288 -3.652 2.188
Pt La
5 1
Direct
0.000 0.667 0.333
0.000 0.333 0.667
0.500 0.500 0.500
0.500 0.000 0.500
0.500 0.500 0.000
0.000 0.000 0.000

***

Record 6
La5Pt3 (meta-GGA SCAN, PBEsol geometry); calculated volume = 26.59 A^3/atom; D(E_F) = 5.96 states/eV/f.u.; formation enthalpy at 0 K = -1.099 eV per atom
1.0
-1.851 5.285 -3.793
-5.631 2.310 5.966
7.974 2.994 0.280
La Pt
10 6
Direct
0.250 0.000 0.249
0.750 0.000 0.751
0.250 0.751 0.751
0.750 0.751 0.000
0.500 0.667 0.333
0.000 0.667 0.333
0.500 0.333 0.667
0.000 0.333 0.667
0.750 0.249 0.249
0.250 0.249 0.000
0.750 0.000 0.389
0.250 0.000 0.611
0.750 0.611 0.611
0.250 0.611 0.000
0.250 0.389 0.389
0.750 0.389 0.000

***

Record 7
La2Pt (meta-GGA SCAN, PBEsol geometry); calculated volume = 27.69 A^3/atom; D(E_F) = 2.00 states/eV/f.u.; formation enthalpy at 0 K = -0.922 eV per atom
1.0
-9.572 -2.061 -0.293
-3.745 -4.794 -7.677
-3.051 -9.252 1.017
La Pt
16 8
Direct
0.125 0.625 0.625
0.625 0.625 0.625
0.625 0.625 0.125
0.625 0.125 0.625
0.059 0.441 0.441
0.059 0.441 0.059
0.441 0.441 0.059
0.059 0.059 0.441
0.441 0.059 0.441
0.441 0.059 0.059
0.191 0.809 0.809
0.191 0.809 0.191
0.809 0.809 0.191
0.191 0.191 0.809
0.809 0.191 0.809
0.809 0.191 0.191
0.854 0.439 0.854
0.854 0.854 0.439
0.854 0.854 0.854
0.439 0.854 0.854
0.396 0.811 0.396
0.396 0.396 0.811
0.396 0.396 0.396
0.811 0.396 0.396

***

Record 8
La2Pt3 (meta-GGA SCAN, PBEsol geometry); calculated volume = 23.84 A^3/atom; D(E_F) = 4.20 states/eV/f.u.; formation enthalpy at 0 K = -1.237 eV per atom
1.0
-1.851 -3.969 -0.110
2.501 -3.572 -0.416
0.759 -2.965 6.961
Pt La
3 2
Direct
0.000 0.000 0.000
0.834 0.834 0.497
0.166 0.166 0.503
0.592 0.592 0.225
0.408 0.408 0.775